Below is Nd3SbPd after structural relaxation, with properties calculated at the PBE level.

a = 4.2708 Å, b = 8.2109 Å, c = 9.1620 Å
α = 103.08°, β = 76.53°, γ = 105.04°
Closest atoms and distances in Å follow each position.
Fractional coordinates of all 10 atoms:
Pd 0.7630 0.6056 0.0798  6 Nd 2.91-3.15, 2 Pd 2.92
Pd 0.2370 0.3944 0.9202  6 Nd 2.91-3.15, 2 Pd 2.92
Nd 0.4169 0.7779 0.9443  3 Pd 2.91-3.01
Nd 0.8321 0.9636 0.2990  1 Pd 3.15, 3 Sb 3.22-3.26
Sb 0.4161 0.2589 0.4267  8 Nd 3.22-3.44
Sb 0.5839 0.7411 0.5733  8 Nd 3.22-3.44
Nd 0.5831 0.2221 0.0557  3 Pd 2.91-3.01
Nd 0.8791 0.4517 0.6928  2 Pd 3.03, 2 Sb 3.35
Nd 0.1679 0.0364 0.7010  1 Pd 3.15, 3 Sb 3.22-3.26
Nd 0.1209 0.5483 0.3072  2 Pd 3.03, 2 Sb 3.35

Summary:
The calculation puts the total DFT energy (no corrections) at -0.2006 hartree per atom. For the density of states at the Fermi level, the calculation gives 1.05 states/eV/atom. The energy relative to the elements, uncorrected comes out at -0.734 eV/atom. The symmetry is C2/m.

=====

Below is HoBiPd after structural relaxation, with properties calculated at the PBE level.

a = 4.7432 Å, b = 4.7432 Å, c = 4.7432 Å
α = 60.00°, β = 60.00°, γ = 60.00°
Closest atoms and distances in Å follow each position.
Fractional coordinates of all 3 atoms:
Ho 0.5000 0.5000 0.5000  4 Pd 2.90
Bi 0.0000 0.0000 0.0000  4 Pd 2.90
Pd 0.2500 0.2500 0.2500  4 Ho 2.90, 4 Bi 2.90

Summary:
The calculation puts the total DFT energy (no corrections) at -0.2014 hartree per atom. For the density of states at the Fermi level, the calculation gives 0.03 states/eV/atom. The symmetry is F-43m. The energy of formation comes out at -930 meV per atom.